DFT (PBE-GGA) results for a relaxed CeThZr crystal.

Cell and atoms, written as CIF:
```
data_CeThZr
_space_group_name_H-M_alt 'C 1 2/c 1'
_space_group_IT_number 15
_space_group_name_Hall '-C 2yc'
_cell_length_a 5.8920
_cell_length_b 10.1541
_cell_length_c 5.9321
_cell_angle_alpha 90.00
_cell_angle_beta 112.25
_cell_angle_gamma 90.00
loop_
_atom_site_label
_atom_site_fract_x
_atom_site_fract_y
_atom_site_fract_z
Ce1 0.0000 0.2460 0.2500
Th1 0.0000 0.0947 0.7500
Zr1 0.0000 0.4317 0.7500
```

offset from the most stable computed form	0.000	eV/atom
magnetization	0.00	μB/f.u.